Here is a relaxed structure of Li2HoNiF8 from Alexandria. Energies are from PBE with a Hubbard U.

abc: 4.737 6.504 4.737
angles: 90.00 90.85 90.00
Positions (direct):
Li 0.000 0.243 0.000
Li 0.000 0.757 0.000
Ho 0.500 0.500 0.500
Ni 0.500 0.000 0.500
F 0.189 0.500 0.817
F 0.227 0.000 0.778
F 0.300 0.226 0.305
F 0.300 0.774 0.305
F 0.700 0.226 0.695
F 0.700 0.774 0.695
F 0.773 0.000 0.222
F 0.811 0.500 0.183

Output
The uncorrected energy comes out at -5.056 eV per atom. The symmetry is P2/m, No. 10.